No. 1
{"formula": "SrB2Br", "functional": "PBE-GGA", "state": "optimized geometry", "spacegroup": "No. 225", "final_energy_ev_per_atom": -2.75, "relative_energy_mev_per_atom": 131, "raw_formation_energy_ev_per_atom": 1.428, "lattice_angstrom": [[0.000, 3.410, 3.410], [3.410, 0.000, 3.410], [3.410, 3.410, 0.000]], "species": ["Sr", "B", "B", "Br"], "frac_coords": [[0.500, 0.500, 0.500], [0.250, 0.250, 0.250], [0.750, 0.750, 0.750], [0.000, 0.000, 0.000]]}

---

No. 2
{"formula": "Pm12Si5Cl2", "functional": "PBE-GGA", "state": "optimized geometry", "spacegroup": "No. 12", "final_energy_ev_per_atom": -5.21, "raw_formation_energy_ev_per_atom": -0.587, "lattice_angstrom": [[-5.110, 0.355, -5.525], [8.566, -1.799, -2.901], [-3.162, -8.187, 2.398]], "species": ["Pm", "Pm", "Pm", "Pm", "Pm", "Pm", "Pm", "Pm", "Pm", "Pm", "Pm", "Pm", "Si", "Si", "Si", "Si", "Si", "Cl", "Cl"], "frac_coords": [[0.991, 0.981, 0.190], [0.079, 0.661, 0.904], [0.582, 0.661, 0.904], [0.097, 0.704, 0.433], [0.606, 0.704, 0.433], [0.495, 0.989, 0.732], [0.505, 0.011, 0.268], [0.903, 0.296, 0.567], [0.394, 0.296, 0.567], [0.921, 0.339, 0.096], [0.418, 0.339, 0.096], [0.009, 0.019, 0.810], [0.304, 0.608, 0.649], [0.321, 0.642, 0.160], [0.000, 0.000, 0.500], [0.679, 0.358, 0.840], [0.696, 0.392, 0.351], [0.710, 0.000, 0.000], [0.290, 0.000, 0.000]]}

---

No. 3
{"formula": "Y2Th5", "functional": "PBE-GGA", "state": "optimized geometry", "spacegroup": "No. 12", "final_energy_ev_per_atom": -7.10, "delta_e_f_mev_per_atom": 48, "lattice_angstrom": [[5.023, 0.000, 0.000], [-2.512, 5.611, -0.744], [0.000, -0.031, 8.010]], "species": ["Y", "Y", "Th", "Th", "Th", "Th", "Th"], "frac_coords": [[0.070, 0.140, 0.217], [0.930, 0.860, 0.783], [0.355, 0.711, 0.070], [0.645, 0.289, 0.930], [0.214, 0.428, 0.643], [0.500, 0.000, 0.500], [0.786, 0.572, 0.357]]}

---

No. 4
{"formula": "LiBeCl", "functional": "PBE-GGA", "state": "optimized geometry", "spacegroup": "No. 156", "final_energy_ev_per_atom": -2.72, "relative_energy_mev_per_atom": 6, "raw_formation_energy_ev_per_atom": -0.228, "lattice_angstrom": [[-1.475, 2.625, -1.076], [-0.661, -1.122, 2.920], [3.919, 3.045, 2.057]], "species": ["Be", "Cl", "Li"], "frac_coords": [[0.000, 0.000, 0.031], [0.667, 0.333, 0.300], [0.333, 0.667, 0.669]]}